Density functional theory data (PBE) for a relaxed MgIrRuO6 crystal.

Structure (extended XYZ):
```
18
Lattice="5.042 0.000 0.000 -2.521 4.366 0.000 0.000 0.000 8.581" Properties=species:S:1:pos:R:3 pbc="T T T"
O 1.725 2.910 1.063
O 3.317 2.910 3.228
O -0.862 4.328 5.353
O 0.796 1.456 7.518
O -1.658 2.949 7.518
O 1.659 0.038 1.063
O 3.383 0.038 3.228
O 4.179 1.417 1.063
O -0.796 1.456 5.353
Mg 0.000 2.911 2.145
Ru 0.000 0.000 4.290
O 0.862 4.328 7.518
Ir 2.521 1.455 2.145
O 0.863 1.417 3.228
Ru 0.000 0.000 0.000
Ir 0.000 2.911 6.436
Mg 2.521 1.455 6.436
O 1.658 2.949 5.353
```

Properties
E_form (uncorrected)	-1177	meV/atom
calculated density	7.27	g cm⁻³
energy	-120.156	eV/cell



Density functional theory data (PBE) for a relaxed MgTe2W crystal.

Structure (extended XYZ):
```
4
Lattice="-2.569 -0.780 -2.343 -1.533 -2.146 2.396 -4.023 5.688 2.519" Properties=species:S:1:pos:R:3 pbc="T T T"
Te -3.658 5.172 2.291
W -2.094 2.960 1.311
Mg -4.992 2.694 1.868
Te -3.416 0.467 0.881
```

Properties
E_form (uncorrected)	156	meV/atom
calculated density	8.18	g cm⁻³
energy	-20.209	eV/cell



Density functional theory data (PBE) for a relaxed ReSbIr2Os crystal.

Structure (extended XYZ):
```
5
Lattice="4.693 0.000 0.000 0.000 4.986 0.000 0.000 0.000 4.693" Properties=species:S:1:pos:R:3 pbc="T T T"
Re 0.000 0.000 0.000
Ir 2.347 0.000 0.000
Os 2.347 2.493 2.347
Sb 0.000 2.493 0.000
Ir 0.000 0.000 2.347
```

Properties
E_form (uncorrected)	2141	meV/atom
calculated density	13.35	g cm⁻³
energy	-34.818	eV/cell